#a
CrBr3O | GGA+U | relaxed

Results
magnetic moment = 0.60 μB/f.u.
D(E_F) = 7.9 states/eV/cell
mass density = 4.7 g cm⁻³
space-group type = No. 221

a b c (Å): 4.7835 4.7835 4.7835
angles (deg): 90.00 90.00 90.00
Positions (direct):
Cr: 0.0000 0.0000 0.0000
Br: 0.0000 0.5000 0.5000
Br: 0.5000 0.0000 0.5000
Br: 0.5000 0.5000 0.0000
O: 0.5000 0.5000 0.5000

---

#b
CrBr3O | GGA+U | relaxed

Results
magnetic moment = 0.10 μB/f.u.
D(E_F) = 6.6 states/eV/cell
mass density = 4.4 g cm⁻³
space-group type = No. 221

a b c (Å): 4.8647 4.8647 4.8647
angles (deg): 90.00 90.00 90.00
Positions (direct):
Cr: 0.0000 0.0000 0.0000
Br: 0.0000 0.0000 0.5000
Br: 0.0000 0.5000 0.0000
Br: 0.5000 0.0000 0.0000
O: 0.5000 0.5000 0.5000

---

The least stable of them is #b.

---

#a
Cr3BrO | GGA+U | relaxed

Results
magnetic moment = 14.98 μB/f.u.
D(E_F) = 2.4 states/eV/cell
mass density = 3.3 g cm⁻³
space-group type = No. 221

a b c (Å): 5.0149 5.0149 5.0149
angles (deg): 90.00 90.00 90.00
Positions (direct):
Cr: 0.0000 0.0000 0.5000
Cr: 0.0000 0.5000 0.0000
Cr: 0.5000 0.0000 0.0000
Br: 0.0000 0.0000 0.0000
O: 0.5000 0.5000 0.5000

---

#b
Cr3BrO | GGA+U | relaxed

Results
magnetic moment = 14.85 μB/f.u.
D(E_F) = 1.9 states/eV/cell
mass density = 4.5 g cm⁻³
space-group type = No. 221

a b c (Å): 4.5227 4.5227 4.5227
angles (deg): 90.00 90.00 90.00
Positions (direct):
Cr: 0.0000 0.0000 0.5000
Cr: 0.0000 0.5000 0.0000
Cr: 0.5000 0.0000 0.0000
Br: 0.5000 0.5000 0.5000
O: 0.0000 0.0000 0.0000

---

The least stable of them is #a.

---

#a
CrP2BrO | GGA+U | relaxed

Results
magnetic moment = 0.00 μB/f.u.
D(E_F) = 3.1 states/eV/cell
mass density = 4.4 g cm⁻³
space-group type = No. 123

a b c (Å): 4.6988 4.6988 3.6014
angles (deg): 90.00 90.00 90.00
Positions (direct):
Cr: 0.0000 0.0000 0.0000
P: 0.0000 0.5000 0.0000
P: 0.5000 0.0000 0.0000
Br: 0.5000 0.5000 0.5000
O: 0.0000 0.0000 0.5000

---

#b
CrP2BrO | GGA+U | relaxed

Results
magnetic moment = 3.85 μB/f.u.
D(E_F) = 2.5 states/eV/cell
mass density = 3.8 g cm⁻³
space-group type = No. 123

a b c (Å): 5.0271 5.0271 3.6497
angles (deg): 90.00 90.00 90.00
Positions (direct):
Cr: 0.0000 0.0000 0.0000
P: 0.0000 0.5000 0.5000
P: 0.5000 0.0000 0.5000
Br: 0.5000 0.5000 0.5000
O: 0.5000 0.5000 0.0000

---

The least stable of them is #b.

---

#a
CrSeBr2O | GGA+U | relaxed

Results
magnetic moment = 1.06 μB/f.u.
D(E_F) = 8.0 states/eV/cell
mass density = 4.3 g cm⁻³
space-group type = No. 123

a b c (Å): 5.0884 5.0884 4.5906
angles (deg): 90.00 90.00 90.00
Positions (direct):
Cr: 0.0000 0.0000 0.0000
Se: 0.0000 0.0000 0.5000
Br: 0.0000 0.5000 0.0000
Br: 0.5000 0.0000 0.0000
O: 0.5000 0.5000 0.5000

---

#b
CrSeBr2O | GGA+U | relaxed

Results
magnetic moment = 4.09 μB/f.u.
D(E_F) = 2.2 states/eV/cell
mass density = 4.9 g cm⁻³
space-group type = No. 123

a b c (Å): 4.8687 4.8687 4.3735
angles (deg): 90.00 90.00 90.00
Positions (direct):
Cr: 0.0000 0.0000 0.0000
Se: 0.5000 0.5000 0.0000
Br: 0.0000 0.5000 0.5000
Br: 0.5000 0.0000 0.5000
O: 0.5000 0.5000 0.5000

---

The least stable of them is #a.

---

#a
CrSiBr2O | GGA+U | relaxed

Results
magnetic moment = 1.90 μB/f.u.
D(E_F) = 5.6 states/eV/cell
mass density = 3.8 g cm⁻³
space-group type = No. 123

a b c (Å): 4.8397 4.8397 4.8065
angles (deg): 90.00 90.00 90.00
Positions (direct):
Cr: 0.0000 0.0000 0.0000
Si: 0.0000 0.0000 0.5000
Br: 0.0000 0.5000 0.0000
Br: 0.5000 0.0000 0.0000
O: 0.5000 0.5000 0.5000

---

#b
CrSiBr2O | GGA+U | relaxed

Results
magnetic moment = 4.91 μB/f.u.
D(E_F) = 2.2 states/eV/cell
mass density = 3.5 g cm⁻³
space-group type = No. 123

a b c (Å): 5.9599 5.9599 3.3865
angles (deg): 90.00 90.00 90.00
Positions (direct):
Cr: 0.0000 0.0000 0.0000
Si: 0.5000 0.5000 0.0000
Br: 0.0000 0.5000 0.5000
Br: 0.5000 0.0000 0.5000
O: 0.5000 0.5000 0.5000

---

The least stable of them is #a.